No. 1
## Rb2MnHCl6 (GGA-PBE)

Data for crystalline Rb2MnHCl6 at its relaxed geometry.

Lattice parameters (Å, degrees): 7.7377 7.7377 7.1141 57.06 57.06 90.00
Atoms (fractional coordinates):
H 0.5000 0.5000 0.0000
Mn 0.0000 0.0000 0.0000
Rb 0.7500 0.2500 0.5000
Rb 0.2500 0.7500 0.5000
Cl 0.3272 0.3272 0.3456
Cl 0.6728 0.6728 0.6544
Cl 0.2065 0.2065 0.0000
Cl 0.7935 0.7935 0.0000
Cl 0.7935 0.2065 0.0000
Cl 0.2065 0.7935 0.0000


No. 2
## Tb4Te3O4 (GGA-PBE)

Data for crystalline Tb4Te3O4 at its relaxed geometry.

Lattice parameters (Å, degrees): 3.4868 9.0771 8.9206 120.58 101.27 90.00
Atoms (fractional coordinates):
Tb 0.1892 0.6892 0.3784
Tb 0.8108 0.3108 0.6216
Tb 0.5000 0.7644 0.0000
Tb 0.5000 0.2356 0.0000
Te 0.1193 0.1193 0.2386
Te 0.8807 0.8807 0.7614
Te 0.0000 0.5000 0.0000
O 0.3600 0.2057 0.7199
O 0.6400 0.4857 0.2801
O 0.6400 0.7943 0.2801
O 0.3600 0.5143 0.7199

- Uncorrected formation energy: -1.97 eV/atom


No. 3
## Ca6As3O2 (GGA-PBE)

Data for crystalline Ca6As3O2 at its relaxed geometry.

Lattice parameters (Å, degrees): 4.6093 4.6093 12.2718 100.82 100.82 90.00
Atoms (fractional coordinates):
Ca 0.0830 0.5830 0.1660
Ca 0.5830 0.0830 0.1660
Ca 0.9170 0.4170 0.8340
Ca 0.4170 0.9170 0.8340
Ca 0.6964 0.6964 0.3929
Ca 0.3036 0.3036 0.6071
As 0.0000 0.0000 0.0000
As 0.8242 0.8242 0.6483
As 0.1758 0.1758 0.3517
O 0.3994 0.3994 0.7987
O 0.6006 0.6006 0.2013

- Uncorrected formation energy: -1.76 eV/atom


No. 4
## Pa2MnZnN6 (GGA-PBE)

Data for crystalline Pa2MnZnN6 at its relaxed geometry.

Lattice parameters (Å, degrees): 5.3171 5.8132 7.4755 90.00 90.20 90.00
Atoms (fractional coordinates):
Pa 0.0193 0.9152 0.2487
Pa 0.5193 0.5848 0.7487
Pa 0.9807 0.0848 0.7513
Pa 0.4807 0.4152 0.2513
Mn 0.5000 0.0000 0.0000
Mn 0.0000 0.5000 0.5000
Zn 0.5000 0.0000 0.5000
Zn 0.0000 0.5000 0.0000
N 0.3437 0.7001 0.0618
N 0.8437 0.7999 0.5618
N 0.6563 0.2999 0.9382
N 0.1563 0.2001 0.4382
N 0.3095 0.6677 0.4428
N 0.8095 0.8323 0.9428
N 0.6905 0.3323 0.5572
N 0.1905 0.1677 0.0572
N 0.8827 0.5506 0.2576
N 0.3827 0.9494 0.7576
N 0.1173 0.4494 0.7424
N 0.6173 0.0506 0.2424

- Uncorrected formation energy: -0.71 eV/atom


No. 5
## ScTlCl2 (GGA-PBE)

Data for crystalline ScTlCl2 at its relaxed geometry.

Lattice parameters (Å, degrees): 6.3911 6.3911 8.2151 67.11 67.11 90.00
Atoms (fractional coordinates):
Sc 0.5000 0.5000 0.0000
Sc 0.2500 0.7500 0.5000
Tl 0.0000 0.0000 0.0000
Tl 0.7500 0.2500 0.5000
Cl 0.4862 0.1250 0.2500
Cl 0.2638 0.6250 0.2500
Cl 0.3750 0.5138 0.7500
Cl 0.8750 0.7362 0.7500

- Energy above the most stable polymorph in this dataset: 397 meV/atom
- Uncorrected formation energy: -0.91 eV/atom


No. 6
## Re2BPt (GGA-PBE)

Data for crystalline Re2BPt at its relaxed geometry.

Lattice parameters (Å, degrees): 4.4503 4.4503 7.4271 72.57 72.57 90.00
Atoms (fractional coordinates):
Re 0.5190 0.1250 0.2500
Re 0.2310 0.6250 0.2500
Re 0.3750 0.4810 0.7500
Re 0.8750 0.7690 0.7500
B 0.5000 0.5000 0.0000
B 0.2500 0.7500 0.5000
Pt 0.0000 0.0000 0.0000
Pt 0.7500 0.2500 0.5000

- Calculated formation energy: 0.86 eV/atom


no.,total magnetic moment (μB per atom),uncorrected energy (eV/cell)
1,0.40,-38.45
2,0.00,-69.48
3,0.00,-55.28
4,0.12,-172.97
5,0.00,-32.09
6,0.00,-68.37